4
Lattice="-3.560 -2.564 -0.854 0.770 -2.316 3.745 -2.353 2.575 2.077" Properties=species:S:1:pos:R:3 comment="Al2TlAu | the Alexandria database | PBE | relaxed" de_polymorph_kj_per_mol_atoms=19.2 formation_enthalpy_0k_mev_per_atom=146 sg="P4/mmm, No. 123" mass_density_g_cm3=9.32 pbc="T T T"
Al 0.000 0.000 0.000
Tl -0.791 0.130 2.911
Al -1.395 -2.440 1.445
Au -2.956 0.006 0.612

***

4
Lattice="-2.952 0.312 4.548 2.667 -1.707 4.413 1.150 3.470 -4.017" Properties=species:S:1:pos:R:3 comment="Al2TlAu | the Alexandria database | PBE | relaxed" de_polymorph_kj_per_mol_atoms=20.6 formation_enthalpy_0k_mev_per_atom=160 sg="I-4m2, No. 119" mass_density_g_cm3=9.34 pbc="T T T"
Al 1.837 0.533 2.438
Al 0.000 0.000 0.000
Tl -0.973 1.542 2.506
Au -0.142 -0.698 4.480

***

28
Lattice="4.453 0.000 0.000 0.000 6.867 0.000 0.000 0.000 17.332" Properties=species:S:1:pos:R:3 comment="TmAl2Au4 | the Alexandria database | PBE | relaxed" formation_enthalpy_0k_mev_per_atom=-581 sg="Pnma, No. 62" mass_density_g_cm3=12.67 pbc="T T T"
Au 3.340 4.296 16.737
Au 1.113 0.862 9.262
Tm 1.113 0.176 6.201
Au 3.340 5.143 5.338
Al 3.340 1.648 16.714
Au 3.340 1.217 14.132
Al 1.113 5.082 9.285
Tm 3.340 6.692 11.131
Al 3.340 3.153 12.403
Au 1.113 0.198 16.113
Au 3.340 2.217 5.466
Au 1.113 4.650 11.867
Au 1.113 1.710 3.329
Au 3.340 6.005 8.071
Tm 3.340 3.609 2.465
Au 1.113 3.236 7.447
Au 1.113 2.572 0.596
Au 3.340 6.670 1.219
Al 1.113 3.714 4.930
Au 1.113 5.651 3.200
Al 1.113 5.219 0.618
Al 3.340 1.785 8.048
Al 1.113 6.587 13.596
Al 3.340 0.281 3.736
Au 1.113 1.724 11.995
Au 3.340 3.631 9.886
Tm 1.113 3.258 14.867
Au 3.340 5.158 14.004

***

8
Lattice="-0.569 -3.636 0.467 3.069 -0.881 -3.121 8.033 -0.234 7.966" Properties=species:S:1:pos:R:3 comment="Tm4Al3Au | the Alexandria database | PBE | relaxed" formation_enthalpy_0k_mev_per_atom=-506 sg="Pmm2, No. 25" mass_density_g_cm3=8.45 pbc="T T T"
Al 3.451 -0.100 3.422
Au 1.852 -2.276 -0.729
Tm 8.392 -0.640 5.240
Tm 3.999 -2.339 1.399
Al 7.164 -2.035 7.619
Tm 1.188 -0.035 1.178
Al 6.098 -0.574 2.965
Tm 4.989 -1.971 5.463

***

9
Lattice="1.202 4.031 1.682 0.230 0.054 5.806 7.916 -0.635 1.965" Properties=species:S:1:pos:R:3 comment="Tm3Al2Au4 | the Alexandria database | PBE | relaxed" formation_enthalpy_0k_mev_per_atom=-808 sg="C2/m, No. 12" mass_density_g_cm3=11.97 pbc="T T T"
Au 0.993 1.122 2.701
Al 6.130 2.201 2.546
Au 4.453 3.496 6.741
Tm 0.000 0.000 0.000
Au 8.355 2.328 6.752
Al 3.218 1.249 6.907
Tm 3.331 2.427 4.004
Tm 6.017 1.023 5.449
Au 4.895 -0.045 2.711

***

14
Lattice="-2.644 -0.069 -3.432 -6.667 -4.197 2.485 -5.859 5.499 1.668" Properties=species:S:1:pos:R:3 comment="Tm3Al8Au3 | the Alexandria database | PBE | relaxed" formation_enthalpy_0k_mev_per_atom=-555 sg="C2/m, No. 12" mass_density_g_cm3=8.23 pbc="T T T"
Al -4.998 -1.665 1.148
Au -2.927 -1.155 -0.457
Al -7.409 2.419 0.189
Au -6.263 0.651 2.076
Al -12.411 -0.145 1.358
Al -4.679 2.585 0.817
Al -10.172 2.898 -0.428
Al -7.761 -1.186 0.532
Tm -5.584 0.319 -1.175
Al -2.759 1.378 -0.637
Tm 0.000 0.000 0.000
Au -12.243 2.388 1.178
Al -10.491 -1.352 -0.097
Tm -9.586 0.914 1.896

***

8
Lattice="3.659 0.000 0.000 0.000 4.614 0.000 0.000 0.000 11.017" Properties=species:S:1:pos:R:3 comment="Tm4AlAu3 | the Alexandria database | PBE | relaxed" formation_enthalpy_0k_mev_per_atom=-757 sg="Pmm2, No. 25" mass_density_g_cm3=11.55 pbc="T T T"
Tm 1.829 0.000 7.062
Tm 0.000 2.307 9.370
Tm 1.829 2.307 3.978
Al 1.829 2.307 0.841
Tm 0.000 0.000 1.640
Au 1.829 0.000 10.148
Au 0.000 2.307 6.463
Au 0.000 0.000 4.565

***

14
Lattice="8.043 0.000 0.000 4.022 6.966 0.000 4.022 2.322 5.203" Properties=species:S:1:pos:R:3 comment="TmAl3Au3 | the Alexandria database | PBE | relaxed" de_polymorph_kj_per_mol_atoms=6.0 formation_enthalpy_0k_mev_per_atom=-457 sg="R-3, No. 148" mass_density_g_cm3=9.58 pbc="T T T"
Al 5.323 4.530 3.398
Tm 12.065 6.966 5.107
Au 5.311 4.813 0.921
Au 6.530 2.363 4.282
Au 9.262 2.193 0.921
Au 6.824 7.095 4.282
Al 9.502 2.344 3.398
Al 9.305 7.057 3.398
Tm 4.022 2.322 0.096
Au 9.556 6.925 0.921
Al 10.764 4.757 1.805
Al 6.584 6.943 1.805
Au 10.775 4.474 4.282
Al 6.781 2.231 1.805

***

11
Lattice="-3.429 -2.921 -2.016 -0.710 -3.130 5.742 -2.633 7.327 -0.097" Properties=species:S:1:pos:R:3 comment="Tm2AlAu8 | the Alexandria database | PBE | relaxed" formation_enthalpy_0k_mev_per_atom=-571 sg="Immm, No. 71" mass_density_g_cm3=15.01 pbc="T T T"
Au -3.411 -2.611 3.545
Au -3.104 -1.267 1.074
Au -0.523 -2.302 4.224
Au -6.250 3.578 -0.594
Tm -4.540 1.122 0.055
Al -1.714 -1.460 -1.008
Tm -2.233 0.154 3.575
Au -3.361 3.887 0.085
Au -1.659 1.517 0.624
Au -5.113 -0.241 3.006
Au -3.668 2.543 2.556

***

14
Lattice="-3.986 1.436 -5.471 -3.773 -5.662 1.262 -4.214 3.710 4.045" Properties=species:S:1:pos:R:3 comment="TmAl3Au3 | the Alexandria database | PBE | relaxed" de_polymorph_kj_per_mol_atoms=39.6 formation_enthalpy_0k_mev_per_atom=-109 sg="Pm-3n, No. 223" mass_density_g_cm3=8.43 pbc="T T T"
Al -2.883 -2.472 -0.737
Al -5.154 3.501 0.298
Au -4.823 -3.528 -1.789
Au -2.940 -1.903 1.642
Au -5.097 2.932 -2.081
Tm 0.000 0.000 0.000
Al -3.050 0.440 2.338
Au -3.104 2.214 0.655
Al -4.876 -1.754 -3.472
Al -4.937 -2.391 2.969
Tm -5.987 -0.258 -0.082
Au -5.047 -0.048 3.665
Al -3.047 1.646 -1.724
Au -2.936 -0.697 -2.420

***

4
Lattice="-2.887 1.149 -3.993 -4.164 -2.704 -0.973 -4.571 2.057 0.691" Properties=species:S:1:pos:R:3 comment="Tm2AlAu | the Alexandria database | PBE | relaxed" de_polymorph_kj_per_mol_atoms=4.4 formation_enthalpy_0k_mev_per_atom=-589 sg="Fm-3m, No. 225" mass_density_g_cm3=10.19 pbc="T T T"
Al 0.000 0.000 0.000
Tm -8.716 0.376 -3.206
Au -5.811 0.251 -2.138
Tm -2.905 0.125 -1.069

***

10
Lattice="3.538 0.000 0.000 0.000 3.538 0.000 0.000 0.000 17.928" Properties=species:S:1:pos:R:3 comment="Tm5AlAu4 | the Alexandria database | PBE | relaxed" formation_enthalpy_0k_mev_per_atom=-789 sg="P4/mmm, No. 123" mass_density_g_cm3=12.28 pbc="T T T"
Au 0.000 0.000 3.547
Tm 1.769 1.769 16.094
Tm 1.769 1.769 8.964
Tm 1.769 1.769 12.546
Au 0.000 0.000 7.189
Au 0.000 0.000 10.738
Tm 1.769 1.769 1.833
Al 0.000 0.000 0.000
Tm 1.769 1.769 5.381
Au 0.000 0.000 14.381

***

20
Lattice="-3.876 -2.415 1.041 5.007 -6.686 3.131 -0.135 3.883 8.509" Properties=species:S:1:pos:R:3 comment="TmAlAu3 | the Alexandria database | PBE | relaxed" de_polymorph_kj_per_mol_atoms=2.0 formation_enthalpy_0k_mev_per_atom=-644 sg="Pnma, No. 62" mass_density_g_cm3=13.37 pbc="T T T"
Au 3.361 -3.246 10.257
Au 0.060 -3.332 8.304
Al 1.931 -1.423 9.158
Au 1.854 -4.022 2.842
Au -0.691 0.525 3.914
Tm 2.637 -3.573 6.797
Au 0.111 -4.553 5.660
Au -2.468 0.714 8.277
Al 1.548 -6.560 6.354
Au 3.463 -5.932 4.403
Au -0.859 -1.196 9.838
Tm 0.200 -2.159 1.006
Tm 0.795 -3.059 11.675
Au 1.687 -5.742 8.766
Au -2.366 -1.972 2.424
Au 0.884 -0.665 7.021
Au 0.935 -1.886 4.377
Tm -1.641 -1.645 5.883
Al -0.935 -3.794 3.523
Al -0.553 1.342 6.326

***

4
Lattice="-2.746 2.116 -0.561 -2.181 -2.724 0.399 -0.408 1.380 7.201" Properties=species:S:1:pos:R:3 comment="Tm2AlAu | the Alexandria database | PBE | relaxed" de_polymorph_kj_per_mol_atoms=0.0 formation_enthalpy_0k_mev_per_atom=-634 sg="P4/mmm, No. 123" mass_density_g_cm3=10.30 pbc="T T T"
Tm -0.099 0.335 1.747
Au -2.464 -0.304 -0.081
Al -2.667 0.386 3.519
Tm -0.309 1.045 5.454

***

21
Lattice="-0.273 -2.179 3.374 6.641 -7.088 -4.040 3.718 8.126 5.550" Properties=species:S:1:pos:R:3 comment="Tm2Al12Au7 | the Alexandria database | PBE | relaxed" formation_enthalpy_0k_mev_per_atom=-492 sg="P-3, No. 147" mass_density_g_cm3=8.78 pbc="T T T"
Au 6.879 1.281 5.043
Au 3.313 3.198 5.992
Al 7.939 1.084 2.585
Al 4.285 5.565 5.183
Al 4.251 -0.486 1.237
Al 5.800 -6.706 -0.299
Au 3.260 -0.293 3.734
Tm 4.620 2.475 3.251
Al 8.444 -1.967 2.976
Al 5.834 -0.655 3.647
Au 6.825 -0.848 1.150
Al 5.901 3.367 6.250
Tm 5.466 -3.616 1.633
Al 4.184 -4.508 -1.366
Al 1.728 1.557 4.743
Au 6.772 -4.339 -1.108
Al 2.147 -2.225 2.299
Al 8.358 -2.698 0.141
Al 1.641 0.826 1.908
Au -0.137 -1.090 1.687
Au 3.206 -2.422 -0.159

***

8
Lattice="-1.150 -1.294 -3.106 3.165 -1.531 -0.534 -4.568 -11.746 6.586" Properties=species:S:1:pos:R:3 comment="Tm4Al3Au | the Alexandria database | PBE | relaxed" formation_enthalpy_0k_mev_per_atom=-505 sg="P4/mmm, No. 123" mass_density_g_cm3=8.81 pbc="T T T"
Tm -1.718 -4.417 2.477
Al -1.277 -7.285 1.473
Tm -2.851 -7.329 4.109
Tm -4.005 -10.297 5.774
Al -2.408 -10.194 3.103
Tm -0.563 -1.449 0.812
Al -0.145 -4.377 -0.158
Au 1.008 -1.412 -1.820

***

16
Lattice="-5.712 0.366 -0.009 -0.341 -5.434 -4.663 -0.328 -4.980 5.827" Properties=species:S:1:pos:R:3 comment="TmAlAu2 | the Alexandria database | PBE | relaxed" formation_enthalpy_0k_mev_per_atom=-731 sg="Pnma, No. 62" mass_density_g_cm3=12.44 pbc="T T T"
Au -2.748 -6.596 -2.612
Au -5.391 -3.051 -1.039
Au -5.253 -0.848 0.851
Au -2.610 -4.393 -0.722
Al -2.460 -6.984 0.053
Al -1.144 -4.568 -2.859
Au -1.128 -9.200 0.304
Au -3.772 -5.655 1.877
Tm -2.084 -1.434 -0.931
Tm -5.248 -6.053 -0.829
Tm -1.133 -3.996 1.984
Tm -4.297 -8.614 2.087
Al -3.922 -3.065 1.103
Al -5.237 -5.481 4.015
Au -3.633 -3.453 3.767
Au -0.990 -6.998 2.194

***

7
Lattice="-0.057 -0.085 -4.873 -3.803 -1.931 -2.360 -5.296 7.337 -2.504" Properties=species:S:1:pos:R:3 comment="Tm4AlAu2 | the Alexandria database | PBE | relaxed" formation_enthalpy_0k_mev_per_atom=-464 sg="R-3m, No. 166" mass_density_g_cm3=9.88 pbc="T T T"
Au -5.749 5.000 -4.895
Tm -1.764 0.281 -2.422
Tm -5.325 0.910 -7.267
Tm -7.392 5.040 -7.315
Tm -3.831 4.411 -2.470
Au -3.407 0.320 -4.841
Al -4.578 2.660 -4.868

***

8
Lattice="4.213 0.000 1.244 1.923 3.748 1.244 -0.427 -0.261 9.202" Properties=species:S:1:pos:R:3 comment="TmAl3Au4 | the Alexandria database | PBE | relaxed" formation_enthalpy_0k_mev_per_atom=-534 sg="R-3m, No. 166" mass_density_g_cm3=11.64 pbc="T T T"
Au 2.070 1.265 8.502
Tm 0.000 0.000 0.000
Al 2.855 1.744 5.845
Au 3.639 2.223 3.188
Al 1.412 0.862 2.975
Al 4.297 2.625 8.715
Au 5.173 3.160 5.749
Au 0.536 0.328 5.940

***

11
Lattice="4.102 0.000 0.000 0.000 6.760 -3.903 0.000 0.000 7.806" Properties=species:S:1:pos:R:3 comment="Tm2Al6Au3 | the Alexandria database | PBE | relaxed" formation_enthalpy_0k_mev_per_atom=-564 sg="P-62m, No. 189" mass_density_g_cm3=8.37 pbc="T T T"
Al 0.000 5.462 -3.153
Au 2.051 2.558 1.477
Au 2.051 4.202 -2.426
Au 2.051 0.000 4.852
Al 2.051 4.735 2.733
Al 0.000 0.000 6.307
Al 0.000 1.298 0.749
Al 2.051 0.000 2.339
Al 2.051 2.025 -1.169
Tm 0.000 2.253 3.903
Tm 0.000 4.507 0.000